(1)
Here is crystalline Ac2DyPd6Pb3 at its relaxed geometry from the Alexandria database. Energies are from PBE-GGA.

Calculated values
- total energy (eV/atom) = -5.031
- space group = No. 123
- formation energy (eV/atom) = -0.4390

The structure in POSCAR format:
```
Ac2DyPd6Pb3
1.0
4.1199 0.0000 0.0000
0.0000 4.1199 0.0000
0.0000 0.0000 19.0099
Ac Dy Pd Pb
2 1 6 3
Direct
0.0000 0.0000 0.1156
0.0000 0.0000 0.8844
0.0000 0.0000 0.5000
0.0000 0.5000 0.3951
0.0000 0.5000 0.6049
0.5000 0.0000 0.3951
0.5000 0.0000 0.6049
0.5000 0.5000 0.1549
0.5000 0.5000 0.8451
0.5000 0.5000 0.0000
0.5000 0.5000 0.2969
0.5000 0.5000 0.7031
```

(2)
Here is crystalline Os2RuAu at its relaxed geometry from the Alexandria database. Energies are from PBE-GGA.

Calculated values
- total energy (eV/atom) = -8.364
- space group = No. 25
- formation energy (eV/atom) = 0.3891

The structure in POSCAR format:
```
Os2RuAu
1.0
2.7661 0.0000 0.0000
0.0000 3.8749 0.0000
0.0000 0.0000 5.6282
Os Ru Au
2 1 1
Direct
0.0000 0.0000 0.0000
0.5000 0.5000 0.2195
0.0000 0.0000 0.4579
0.5000 0.5000 0.7232
```

(3)
Here is crystalline Hf2TiNbO at its relaxed geometry from the Alexandria database. Energies are from PBE-GGA.

Calculated values
- total energy (eV/atom) = -9.612
- space group = No. 123
- formation energy without anion corrections (eV per atom) = -1.046

The structure in POSCAR format:
```
Hf2TiNbO
1.0
4.5185 0.0000 0.0000
0.0000 4.5185 0.0000
0.0000 0.0000 4.0656
Hf Ti Nb O
2 1 1 1
Direct
0.0000 0.5000 0.0000
0.5000 0.0000 0.0000
0.0000 0.0000 0.5000
0.5000 0.5000 0.5000
0.0000 0.0000 0.0000
```

(4)
Here is crystalline Nb6Mo3W2 at its relaxed geometry from the Alexandria database. Energies are from PBE-GGA.

Calculated values
- total energy (eV/atom) = -10.513
- space group = No. 71
- formation energy (eV/atom) = 0.2890

The structure in POSCAR format:
```
Nb6Mo3W2
1.0
-1.3178 2.3492 15.5730
1.3178 -2.3492 15.5730
1.3178 2.3492 -15.5730
Nb Mo W
6 3 2
Direct
0.0911 0.0911 0.0000
0.2754 0.7754 0.5000
0.3665 0.3665 0.0000
0.6335 0.6335 0.0000
0.7246 0.2246 0.5000
0.9089 0.9089 0.0000
0.0000 0.5000 0.5000
0.1827 0.6827 0.5000
0.8173 0.3173 0.5000
0.4570 0.9570 0.5000
0.5430 0.0430 0.5000
```

(5)
Here is crystalline SrOsO2 at its relaxed geometry from the Alexandria database. Energies are from PBE-GGA.

Calculated values
- total energy (eV/atom) = -5.986
- space group = No. 225
- formation energy without anion corrections (eV per atom) = -0.279

The structure in POSCAR format:
```
SrOsO2
1.0
0.0000 2.9602 2.9602
2.9602 0.0000 2.9602
2.9602 2.9602 0.0000
Sr Os O
1 1 2
Direct
0.0000 0.0000 0.0000
0.5000 0.5000 0.5000
0.2500 0.2500 0.2500
0.7500 0.7500 0.7500
```

(6)
Here is crystalline TbCu6Si2 at its relaxed geometry from the Alexandria database. Energies are from PBE-GGA.

Calculated values
- total energy (eV/atom) = -4.745
- space group = No. 123
- formation energy without anion corrections (eV per atom) = -0.295

The structure in POSCAR format:
```
TbCu6Si2
1.0
4.0394 0.0000 0.0000
0.0000 4.0394 0.0000
0.0000 0.0000 7.8341
Tb Cu Si
1 6 2
Direct
0.0000 0.0000 0.0000
0.0000 0.0000 0.5000
0.0000 0.5000 0.3061
0.0000 0.5000 0.6939
0.5000 0.0000 0.3061
0.5000 0.0000 0.6939
0.5000 0.5000 0.5000
0.5000 0.5000 0.1510
0.5000 0.5000 0.8490
```

(7)
Here is crystalline CaTaTl2 at its relaxed geometry from the Alexandria database. Energies are from PBE-GGA.

Calculated values
- total energy (eV/atom) = -4.267
- space group = No. 123
- formation energy (eV/atom) = 0.3795

The structure in POSCAR format:
```
CaTaTl2
1.0
5.3699 0.0000 0.0000
0.0000 5.3699 0.0000
0.0000 0.0000 3.2623
Ca Ta Tl
1 1 2
Direct
0.0000 0.0000 0.0000
0.5000 0.5000 0.0000
0.0000 0.5000 0.5000
0.5000 0.0000 0.5000
```

(8)
Here is crystalline Th2Al4Ga3Ag at its relaxed geometry from the Alexandria database. Energies are from PBE-GGA.

Calculated values
- total energy (eV/atom) = -4.526
- space group = No. 115
- formation energy (eV/atom) = -0.3523

The structure in POSCAR format:
```
Th2Al4Ga3Ag
1.0
4.2477 0.0000 0.0000
0.0000 4.2477 0.0000
0.0000 0.0000 11.1501
Th Al Ga Ag
2 4 3 1
Direct
0.0000 0.5000 0.2479
0.5000 0.0000 0.7521
0.0000 0.0000 0.0000
0.0000 0.5000 0.6361
0.5000 0.0000 0.3639
0.5000 0.5000 0.0000
0.0000 0.5000 0.8600
0.5000 0.0000 0.1400
0.5000 0.5000 0.5000
0.0000 0.0000 0.5000
```

(9)
Here is crystalline LaCe2Sc at its relaxed geometry from the Alexandria database. Energies are from PBE-GGA.

Calculated values
- total energy (eV/atom) = -5.597
- space group = No. 166
- formation energy (eV/atom) = 0.1849

The structure in POSCAR format:
```
LaCe2Sc
1.0
1.6468 0.9508 12.0293
-1.6468 0.9508 12.0293
0.0000 -1.9016 12.0293
La Ce Sc
1 2 1
Direct
0.0000 0.0000 0.0000
0.0888 0.0888 0.0888
0.9112 0.9112 0.9112
0.5000 0.5000 0.5000
```

(10)
Here is crystalline Rb5AcTe4 at its relaxed geometry from the Alexandria database. Energies are from PBE-GGA.

Calculated values
- total energy (eV/atom) = -3.267
- space group = No. 12
- formation energy without anion corrections (eV per atom) = -1.115

The structure in POSCAR format:
```
Rb5AcTe4
1.0
11.0739 -2.6389 0.0000
11.0739 2.6389 0.0000
-4.0979 0.0000 8.6096
Rb Ac Te
5 1 4
Direct
0.0000 0.0000 0.0000
0.3258 0.3258 0.0784
0.3256 0.3256 0.5731
0.6744 0.6744 0.4269
0.6742 0.6742 0.9216
0.0000 0.0000 0.5000
0.1748 0.1748 0.6748
0.5001 0.5001 0.2688
0.4999 0.4999 0.7312
0.8252 0.8252 0.3252
```

(11)
Here is crystalline ZnGeF4 at its relaxed geometry from the Alexandria database. Energies are from PBE-GGA.

Calculated values
- total energy (eV/atom) = -4.286
- space group = No. 82
- formation energy without anion corrections (eV per atom) = -2.057

The structure in POSCAR format:
```
ZnGeF4
1.0
-3.1410 3.1410 4.4981
3.1410 -3.1410 4.4981
3.1410 3.1410 -4.4981
Zn Ge F
1 1 4
Direct
0.0000 0.0000 0.0000
0.7500 0.2500 0.5000
0.3585 0.2149 0.3305
0.7851 0.1155 0.1436
0.8845 0.0280 0.6695
0.9720 0.6415 0.8564
```

(12)
Here is crystalline Sb2OsCl at its relaxed geometry from the Alexandria database. Energies are from PBE-GGA.

Calculated values
- total energy (eV/atom) = -4.662
- space group = No. 71
- formation energy without anion corrections (eV per atom) = 0.669

The structure in POSCAR format:
```
Sb2OsCl
1.0
-1.6462 3.1881 4.6952
1.6462 -3.1881 4.6952
1.6462 3.1881 -4.6952
Sb Os Cl
2 1 1
Direct
0.2218 0.2218 0.0000
0.7782 0.7782 0.0000
0.0000 0.5000 0.5000
0.5000 0.0000 0.5000
```

(13)
Here is crystalline Ba7NaRh2Br2 at its relaxed geometry from the Alexandria database. Energies are from PBE-GGA.

Calculated values
- total energy (eV/atom) = -3.367
- space group = No. 44
- formation energy without anion corrections (eV per atom) = -0.631

The structure in POSCAR format:
```
Ba7NaRh2Br2
1.0
-3.2021 13.8489 3.1959
3.2021 -13.8489 3.1959
3.2021 13.8489 -3.1959
Ba Na Rh Br
7 1 2 2
Direct
0.0003 0.0003 0.0000
0.1066 0.5000 0.6066
0.2187 0.0010 0.2178
0.3939 0.5003 0.8936
0.6067 0.5003 0.1064
0.7832 0.0010 0.7822
0.8934 0.5000 0.3934
0.4992 0.9992 0.5000
0.1140 0.9996 0.1143
0.8853 0.9996 0.8857
0.2501 0.5005 0.7496
0.7509 0.5005 0.2504
```

(14)
Here is crystalline K3ScBi at its relaxed geometry from the Alexandria database. Energies are from PBE-GGA.

Calculated values
- total energy (eV/atom) = -1.852
- space group = No. 221
- formation energy (eV/atom) = 0.8489

The structure in POSCAR format:
```
K3ScBi
1.0
6.5502 0.0000 0.0000
0.0000 6.5502 0.0000
0.0000 0.0000 6.5502
K Sc Bi
3 1 1
Direct
0.0000 0.0000 0.5000
0.0000 0.5000 0.0000
0.5000 0.0000 0.0000
0.0000 0.0000 0.0000
0.5000 0.5000 0.5000
```

(15)
Here is crystalline HfCuSn2 at its relaxed geometry from the Alexandria database. Energies are from PBE-GGA.

Calculated values
- total energy (eV/atom) = -5.587
- space group = No. 123
- formation energy (eV/atom) = -0.0730

The structure in POSCAR format:
```
HfCuSn2
1.0
4.4322 0.0000 0.0000
0.0000 4.4322 0.0000
0.0000 0.0000 4.1099
Hf Cu Sn
1 1 2
Direct
0.0000 0.0000 0.0000
0.5000 0.5000 0.0000
0.0000 0.5000 0.5000
0.5000 0.0000 0.5000
```

(16)
Here is crystalline Cs2AgSnTe4 at its relaxed geometry from the Alexandria database. Energies are from PBE-GGA.

Calculated values
- total energy (eV/atom) = -3.158
- space group = No. 70
- formation energy without anion corrections (eV per atom) = -0.517

The structure in POSCAR format:
```
Cs2AgSnTe4
1.0
0.0000 8.0360 12.5798
3.4964 0.0000 12.5798
3.4964 8.0360 0.0000
Cs Ag Sn Te
4 2 2 8
Direct
0.0572 0.0572 0.6928
0.3072 0.3072 0.9428
0.6928 0.6928 0.0572
0.9428 0.9428 0.3072
0.1250 0.1250 0.1250
0.8750 0.8750 0.8750
0.3750 0.3750 0.3750
0.6250 0.6250 0.6250
0.0268 0.3409 0.4290
0.2967 0.5710 0.6591
0.3409 0.0268 0.7033
0.4290 0.7033 0.0268
0.5710 0.2967 0.9732
0.6591 0.9732 0.2967
0.7033 0.4290 0.3409
0.9732 0.6591 0.5710
```

(17)
Here is crystalline NbSI at its relaxed geometry from the Alexandria database. Energies are from PBE-GGA.

Calculated values
- total energy (eV/atom) = -6.059
- space group = No. 12
- formation energy without anion corrections (eV per atom) = -0.810

The structure in POSCAR format:
```
NbSI
1.0
7.4770 -1.8196 0.0000
7.4770 1.8196 0.0000
-2.4529 0.0000 5.9785
Nb S I
2 2 2
Direct
0.2432 0.2432 0.3168
0.7568 0.7568 0.6832
0.3692 0.3692 0.6932
0.6308 0.6308 0.3068
0.1341 0.1341 0.8146
0.8659 0.8659 0.1854
```

(18)
Here is crystalline Er4ThN5 at its relaxed geometry from the Alexandria database. Energies are from PBE-GGA.

Calculated values
- total energy (eV/atom) = -8.464
- space group = No. 87
- formation energy without anion corrections (eV per atom) = -1.734

The structure in POSCAR format:
```
Er4ThN5
1.0
-3.8933 3.8933 2.4637
3.8933 -3.8933 2.4637
3.8933 3.8933 -2.4637
Er Th N
4 1 5
Direct
0.0987 0.6960 0.7947
0.3040 0.0987 0.4026
0.6960 0.9013 0.5974
0.9013 0.3040 0.2053
0.5000 0.5000 0.0000
0.0000 0.0000 0.0000
0.1964 0.4004 0.5969
0.4004 0.8036 0.2040
0.5996 0.1964 0.7960
0.8036 0.5996 0.4031
```

(19)
Here is crystalline Pr4YAl4 at its relaxed geometry from the Alexandria database. Energies are from PBE-GGA.

Calculated values
- total energy (eV/atom) = -4.649
- space group = No. 86
- formation energy (eV/atom) = -0.1429

The structure in POSCAR format:
```
Pr4YAl4
1.0
8.9815 0.0000 0.0000
0.0000 8.9815 0.0000
0.0000 0.0000 6.0855
Pr Y Al
8 2 8
Direct
0.0785 0.8248 0.1270
0.1752 0.5785 0.6270
0.3248 0.9215 0.6270
0.4215 0.6752 0.1270
0.5785 0.3248 0.8730
0.6752 0.0785 0.3730
0.8248 0.4215 0.3730
0.9215 0.1752 0.8730
0.2500 0.2500 0.7500
0.7500 0.7500 0.2500
0.0645 0.1606 0.3534
0.1606 0.4355 0.1466
0.3394 0.0645 0.1466
0.4355 0.3394 0.3534
0.5645 0.6606 0.6466
0.6606 0.9355 0.8534
0.8394 0.5645 0.8534
0.9355 0.8394 0.6466
```

(20)
Here is crystalline LiHo2Ir at its relaxed geometry from the Alexandria database. Energies are from PBE-GGA.

Calculated values
- total energy (eV/atom) = -5.238
- space group = No. 166
- formation energy (eV/atom) = -0.2553

The structure in POSCAR format:
```
LiHo2Ir
1.0
1.9780 1.1420 9.8184
-1.9780 1.1420 9.8184
0.0000 -2.2840 9.8184
Li Ho Ir
1 2 1
Direct
0.0000 0.0000 0.0000
0.1164 0.1164 0.1164
0.8836 0.8836 0.8836
0.5000 0.5000 0.5000
```

(21)
Here is crystalline Gd2MnZn at its relaxed geometry from the Alexandria database. Energies are from PBE-GGA.

Calculated values
- total energy (eV/atom) = -9.721
- space group = No. 123
- formation energy (eV/atom) = -0.0692

The structure in POSCAR format:
```
Gd2MnZn
1.0
5.1147 0.0000 0.0000
0.0000 5.1147 0.0000
0.0000 0.0000 3.4945
Gd Mn Zn
2 1 1
Direct
0.0000 0.5000 0.0000
0.5000 0.0000 0.0000
0.0000 0.0000 0.5000
0.5000 0.5000 0.5000
```

(22)
Here is crystalline ZrScRh2 at its relaxed geometry from the Alexandria database. Energies are from PBE-GGA.

Calculated values
- total energy (eV/atom) = -8.122
- space group = No. 44
- formation energy (eV/atom) = -0.7264

The structure in POSCAR format:
```
ZrScRh2
1.0
-1.8203 2.0215 4.7826
1.8203 -2.0215 4.7826
1.8203 2.0215 -4.7826
Zr Sc Rh
1 1 2
Direct
0.0000 0.0000 0.0000
0.7432 0.2432 0.5000
0.2413 0.7413 0.5000
0.4971 0.4971 0.0000
```

(23)
Here is crystalline NdMg5Tl6 at its relaxed geometry from the Alexandria database. Energies are from PBE-GGA.

Calculated values
- total energy (eV/atom) = -2.370
- space group = No. 2
- formation energy (eV/atom) = -0.1250

The structure in POSCAR format:
```
NdMg5Tl6
1.0
5.1486 0.0000 0.0000
-0.0356 7.4182 0.0000
-2.4240 -3.6091 8.0443
Nd Mg Tl
1 5 6
Direct
0.0000 0.0000 0.0000
0.0000 0.5000 0.0000
0.3236 0.3246 0.6556
0.3342 0.8339 0.6678
0.6658 0.1661 0.3322
0.6764 0.6754 0.3444
0.1711 0.4300 0.3404
0.1732 0.9150 0.3413
0.4962 0.7250 0.9947
0.5038 0.2750 0.0053
0.8268 0.0850 0.6587
0.8289 0.5700 0.6596
```

(24)
Here is crystalline Mg5Rh4 at its relaxed geometry from the Alexandria database. Energies are from PBE-GGA.

Calculated values
- total energy (eV/atom) = -4.436
- space group = No. 139
- formation energy (eV/atom) = -0.2830

The structure in POSCAR format:
```
Mg5Rh4
1.0
-4.1662 4.1662 2.0926
4.1662 -4.1662 2.0926
4.1662 4.1662 -2.0926
Mg Rh
5 4
Direct
0.0000 0.0000 0.0000
0.3240 0.3240 0.6480
0.3240 0.6760 0.0000
0.6760 0.3240 0.0000
0.6760 0.6760 0.3520
0.0000 0.3375 0.3375
0.0000 0.6625 0.6625
0.3375 0.0000 0.3375
0.6625 0.0000 0.6625
```

(25)
Here is crystalline LiYAsBr2 at its relaxed geometry from the Alexandria database. Energies are from PBE-GGA.

Calculated values
- total energy (eV/atom) = -3.978
- space group = No. 123
- formation energy without anion corrections (eV per atom) = -0.704

The structure in POSCAR format:
```
LiYAsBr2
1.0
4.6864 0.0000 0.0000
0.0000 4.6864 0.0000
0.0000 0.0000 5.4893
Li Y As Br
1 1 1 2
Direct
0.0000 0.0000 0.0000
0.5000 0.5000 0.5000
0.0000 0.0000 0.5000
0.0000 0.5000 0.0000
0.5000 0.0000 0.0000
```